[1]
Here is a relaxed structure of KRePdAu2 from Alexandria. Energies are from GGA-PBE.

Unit cell a=5.145 b=4.897 c=5.145 alpha=90.00 beta=90.00 gamma=90.00
Atoms (fractional coordinates):
Au (0.500, 0.000, 0.000)
Re (0.000, 0.000, 0.000)
Au (0.000, 0.000, 0.500)
K (0.500, 0.500, 0.500)
Pd (0.000, 0.500, 0.000)

## Properties
calculated volume	130	Å³/cell
DFT formation energy	714	meV per atom
size of the total moment	0.00	Bohr magnetons per cell


[2]
Here is a relaxed structure of YZr2Se from Alexandria. Energies are from GGA-PBE.

Unit cell a=6.066 b=6.066 c=6.066 alpha=139.58 beta=139.58 gamma=58.49
Atoms (fractional coordinates):
Zr (0.500, 0.500, 0.000)
Zr (0.000, 0.000, 0.000)
Se (0.250, 0.750, 0.500)
Y (0.750, 0.250, 0.500)

## Properties
calculated volume	93	Å³/cell
size of the total moment	0.00	Bohr magnetons per cell
raw formation energy	-1.117	eV/f.u.


[3]
Here is a relaxed structure of Ac6Nd4Er from Alexandria. Energies are from GGA-PBE.

Unit cell a=11.388 b=11.388 c=11.388 alpha=50.03 beta=145.20 gamma=145.20
Atoms (fractional coordinates):
Ac (0.397, 0.509, 0.509)
Nd (0.000, 0.674, 0.056)
Ac (0.000, 0.888, 0.491)
Nd (0.382, 0.326, 0.326)
Ac (0.500, 0.500, 0.000)
Ac (0.000, 0.491, 0.888)
Nd (0.000, 0.056, 0.674)
Er (0.000, 0.000, 0.000)
Ac (0.603, 0.112, 0.112)
Nd (0.618, 0.944, 0.944)
Ac (0.500, 0.000, 0.500)

## Properties
calculated volume	479	Å³/cell
DFT formation energy	306	meV per atom
size of the total moment	0.00	Bohr magnetons per cell


[4]
Here is a relaxed structure of TlAgPd4 from Alexandria. Energies are from GGA-PBE.

Unit cell a=4.012 b=4.964 c=6.491 alpha=104.75 beta=72.00 gamma=66.17
Atoms (fractional coordinates):
Tl (0.500, 0.500, 0.500)
Ag (0.000, 0.000, 0.000)
Pd (0.335, 0.998, 0.331)
Pd (0.832, 0.499, 0.837)
Pd (0.665, 0.002, 0.669)
Pd (0.168, 0.501, 0.163)

## Properties
energy above the most stable polymorph in this dataset	0	meV/atom
calculated volume	101	Å³/cell
DFT formation energy	-116	meV per atom
size of the total moment	0.00	Bohr magnetons per cell


[5]
Here is a relaxed structure of TbCe2Ag from Alexandria. Energies are from GGA-PBE.

Unit cell a=3.469 b=5.644 c=5.644 alpha=90.00 beta=90.00 gamma=90.00
Atoms (fractional coordinates):
Tb (0.500, 0.500, 0.500)
Ce (0.000, 0.000, 0.500)
Ce (0.000, 0.500, 0.000)
Ag (0.500, 0.000, 0.000)

## Properties
energy above the most stable polymorph in this dataset	55	meV/atom
calculated volume	111	Å³/cell
DFT formation energy	114	meV per atom
size of the total moment	2.13	Bohr magnetons per cell


[6]
Here is a relaxed structure of CaSc2Co2 from Alexandria. Energies are from GGA-PBE.

Unit cell a=7.648 b=7.648 c=3.166 alpha=90.00 beta=90.00 gamma=90.00
Atoms (fractional coordinates):
Co (0.145, 0.355, 0.000)
Sc (0.358, 0.142, 0.500)
Co (0.355, 0.855, 0.000)
Sc (0.642, 0.858, 0.500)
Sc (0.142, 0.642, 0.500)
Sc (0.858, 0.358, 0.500)
Co (0.645, 0.145, 0.000)
Ca (0.000, 0.000, 0.000)
Ca (0.500, 0.500, 0.000)
Co (0.855, 0.645, 0.000)

## Properties
energy above the most stable polymorph in this dataset	0	meV/atom
calculated volume	185	Å³/cell
DFT formation energy	-77	meV per atom
size of the total moment	0.00	Bohr magnetons per cell


[7]
Here is a relaxed structure of AgPt2F8 from Alexandria. Energies are from GGA-PBE.

Unit cell a=6.143 b=5.560 c=5.560 alpha=120.00 beta=90.00 gamma=90.00
Atoms (fractional coordinates):
F (0.272, 0.176, 0.353)
F (0.728, 0.353, 0.176)
F (0.253, 0.667, 0.333)
F (0.747, 0.333, 0.667)
F (0.728, 0.824, 0.176)
F (0.272, 0.176, 0.824)
Pt (0.944, 0.667, 0.333)
Ag (0.500, 0.000, 0.000)
F (0.272, 0.647, 0.824)
Pt (0.056, 0.333, 0.667)
F (0.728, 0.824, 0.647)

## Properties
energy above the most stable polymorph in this dataset	330	meV/atom
calculated volume	164	Å³/cell
size of the total moment	0.00	Bohr magnetons per cell
raw formation energy	-8.737	eV/f.u.


[8]
Here is a relaxed structure of TbMgNi from Alexandria. Energies are from GGA-PBE.

Unit cell a=9.136 b=9.136 c=3.858 alpha=90.00 beta=90.00 gamma=156.29
Atoms (fractional coordinates):
Tb (0.587, 0.413, 0.750)
Mg (0.798, 0.202, 0.750)
Ni (0.957, 0.043, 0.750)
Tb (0.413, 0.587, 0.250)
Mg (0.202, 0.798, 0.250)
Ni (0.043, 0.957, 0.250)

## Properties
calculated volume	130	Å³/cell
DFT formation energy	-327	meV per atom
size of the total moment	0.00	Bohr magnetons per cell


[9]
Here is a relaxed structure of ScTaAs2Se from Alexandria. Energies are from GGA-PBE.

Unit cell a=4.969 b=4.969 c=4.903 alpha=90.00 beta=90.00 gamma=90.00
Atoms (fractional coordinates):
Ta (0.500, 0.500, 0.500)
As (0.000, 0.500, 0.000)
Sc (0.000, 0.000, 0.000)
As (0.500, 0.000, 0.000)
Se (0.000, 0.000, 0.500)

## Properties
energy above the most stable polymorph in this dataset	790	meV/atom
calculated volume	121	Å³/cell
size of the total moment	0.00	Bohr magnetons per cell
raw formation energy	3.727	eV/f.u.


[10]
Here is a relaxed structure of TaTlF3 from Alexandria. Energies are from GGA-PBE.

Unit cell a=4.378 b=4.378 c=4.378 alpha=90.00 beta=90.00 gamma=90.00
Atoms (fractional coordinates):
F (0.000, 0.500, 0.000)
F (0.500, 0.000, 0.000)
F (0.000, 0.000, 0.500)
Ta (0.000, 0.000, 0.000)
Tl (0.500, 0.500, 0.500)

## Properties
energy above the most stable polymorph in this dataset	0	meV/atom
calculated volume	84	Å³/cell
size of the total moment	2.76	Bohr magnetons per cell
raw formation energy	-8.199	eV/f.u.


[11]
Here is a relaxed structure of Ni3HgRu from Alexandria. Energies are from GGA-PBE.

Unit cell a=4.511 b=4.511 c=4.511 alpha=90.00 beta=90.00 gamma=90.00
Atoms (fractional coordinates):
Ni (0.000, 0.500, 0.000)
Ru (0.000, 0.000, 0.000)
Ni (0.000, 0.000, 0.500)
Ni (0.500, 0.000, 0.000)
Hg (0.500, 0.500, 0.500)

## Properties
energy above the most stable polymorph in this dataset	0	meV/atom
calculated volume	92	Å³/cell
DFT formation energy	1201	meV per atom
size of the total moment	2.42	Bohr magnetons per cell


[12]
Here is a relaxed structure of Ce12PrGa6 from Alexandria. Energies are from GGA-PBE.

Unit cell a=8.314 b=8.314 c=8.314 alpha=102.91 beta=102.91 gamma=102.91
Atoms (fractional coordinates):
Pr (0.000, 0.000, 0.000)
Ga (0.267, 0.720, 0.267)
Ce (0.415, 0.415, 0.148)
Ce (0.897, 0.103, 0.500)
Ga (0.280, 0.733, 0.733)
Ga (0.720, 0.267, 0.267)
Ce (0.585, 0.585, 0.852)
Ce (0.103, 0.897, 0.500)
Ce (0.897, 0.500, 0.103)
Ce (0.500, 0.897, 0.103)
Ga (0.733, 0.733, 0.280)
Ga (0.267, 0.267, 0.720)
Ce (0.103, 0.500, 0.897)
Ce (0.585, 0.852, 0.585)
Ce (0.148, 0.415, 0.415)
Ce (0.852, 0.585, 0.585)
Ce (0.500, 0.103, 0.897)
Ga (0.733, 0.280, 0.733)
Ce (0.415, 0.148, 0.415)

## Properties
calculated volume	523	Å³/cell
DFT formation energy	-150	meV per atom
size of the total moment	6.59	Bohr magnetons per cell